This record from Alexandria describes crystalline MgSbIr2 at its relaxed geometry. The functional is GGA-PBEsol.

extended XYZ file:
```
4
Lattice="3.035 0.000 0.000 0.000 3.549 0.000 0.000 0.000 5.946" Properties=species:S:1:pos:R:3 pbc="T T T"
Mg 0.000 0.000 0.000
Sb 0.000 0.000 2.973
Ir 1.517 1.775 1.474
Ir 1.517 1.775 4.472
```

ρ = 13.76 g cm⁻³
ΔE_f (raw) = -0.116 eV per atom
volume = 64.0 Å³/cell
DFT total energy = -6.5960 eV/atom